VASP calculation (GGA-PBE) on an optimized crystal structure of KZr4SnC2.

a b c (Å): 3.3881 3.3881 16.8379
angles (deg): 90.00 90.00 120.00
Atoms (fractional coordinates):
K 0.0000 0.0000 0.0000
Zr 0.0000 0.0000 0.3548
Zr 0.0000 0.0000 0.6452
Zr 0.6667 0.3333 0.2081
Zr 0.6667 0.3333 0.7919
Sn 0.6667 0.3333 0.5000
C 0.3333 0.6667 0.2803
C 0.3333 0.6667 0.7197

***

VASP calculation (GGA-PBE) on an optimized crystal structure of NbPd.

Properties
DFT formation energy	1.0647	eV per atom

a b c (Å): 4.1019 4.1019 4.1019
angles (deg): 60.00 60.00 60.00
Atoms (fractional coordinates):
Nb 0.0000 0.0000 0.0000
Pd 0.7500 0.7500 0.7500

***

VASP calculation (GGA-PBE) on an optimized crystal structure of PrCd2O3.

a b c (Å): 3.6147 3.6147 8.2833
angles (deg): 90.00 90.00 120.00
Atoms (fractional coordinates):
Pr 0.0000 0.0000 0.0000
Cd 0.3333 0.6667 0.6433
Cd 0.6667 0.3333 0.3567
O 0.0000 0.0000 0.5000
O 0.3333 0.6667 0.1435
O 0.6667 0.3333 0.8565

***

VASP calculation (GGA-PBE) on an optimized crystal structure of DyAs2.

a b c (Å): 5.6943 5.6943 5.6943
angles (deg): 60.00 60.00 60.00
Atoms (fractional coordinates):
Dy 0.1250 0.1250 0.1250
Dy 0.8750 0.8750 0.8750
As 0.0000 0.5000 0.5000
As 0.5000 0.0000 0.5000
As 0.5000 0.5000 0.0000
As 0.5000 0.5000 0.5000

***

no.,energy (eV per atom)
1,-7.661
2,-6.570
3,-5.212
4,-4.952